Version one
A plane-wave DFT calculation with meta-GGA SCAN was carried out for a PBEsol-optimized structure of BaCaZr2.

Cell: 3.205 5.838 6.493 Å, 90.00 102.76 90.00°
Space group P2/m (No. 10)
Asymmetric unit:
1 Ba 0.000 0.000 0.000 x1
2 Ca 0.500 0.000 0.500 x1
3 Zr 0.323 0.500 0.705 x2

Version two
A plane-wave DFT calculation with meta-GGA SCAN was carried out for a PBEsol-optimized structure of BaCaZr2.

Cell: 3.903 3.903 8.015 Å, 90.00 90.00 90.00°
Space group P4/mmm (No. 123)
Asymmetric unit:
1 Ba 0.000 0.000 0.000 x1
2 Ca 0.000 0.000 0.500 x1
3 Zr 0.500 0.500 0.305 x2

Most stable: version one (next structure +173 meV/atom)

Version one
A plane-wave DFT calculation with meta-GGA SCAN was carried out for a PBEsol-optimized structure of Ba3Cd.

Cell: 8.580 11.254 7.803 Å, 90.00 90.00 90.00°
Space group Pnma (No. 62)
Asymmetric unit:
1 Ba 0.016 0.250 0.112 x4
2 Ba 0.185 0.055 0.677 x8
3 Cd 0.104 0.750 0.458 x4

Version two
A plane-wave DFT calculation with meta-GGA SCAN was carried out for a PBEsol-optimized structure of Ba3Cd.

Cell: 4.316 6.324 13.374 Å, 90.00 90.00 90.00°
Space group Immm (No. 71)
Asymmetric unit:
1 Ba 0.000 0.000 0.000 x2
2 Ba 0.000 0.500 0.204 x4
3 Cd 0.000 0.000 0.500 x2

Version three
A plane-wave DFT calculation with meta-GGA SCAN was carried out for a PBEsol-optimized structure of Ba3Cd.

Cell: 4.222 4.222 10.618 Å, 90.00 90.00 90.00°
Space group P4/mmm (No. 123)
Asymmetric unit:
1 Ba 0.000 0.000 0.000 x1
2 Ba 0.500 0.500 0.317 x2
3 Cd 0.000 0.000 0.500 x1

Most stable: version three (next structure +22 meV/atom)

Version one
A plane-wave DFT calculation with meta-GGA SCAN was carried out for a PBEsol-optimized structure of BaCdCl2.

Cell: 8.278 4.775 8.376 Å, 90.00 109.04 90.00°
Space group C2/m (No. 12)
Asymmetric unit:
1 Ba 0.000 0.000 0.000 x2
2 Cd 0.000 0.500 0.500 x2
3 Cl 0.222 0.500 0.167 x4

Version two
A plane-wave DFT calculation with meta-GGA SCAN was carried out for a PBEsol-optimized structure of BaCdCl2.

Cell: 5.063 5.063 4.213 Å, 90.00 90.00 90.00°
Space group P4/mmm (No. 123)
Asymmetric unit:
1 Ba 0.000 0.000 0.000 x1
2 Cd 0.500 0.500 0.000 x1
3 Cl 0.000 0.500 0.500 x2

Most stable: version one (next structure +87 meV/atom)